[1]
# Ce5CdIn6 | Alexandria | GGA-PBE | optimized geometry
# * crystal system: monoclinic
# * ΔH_f (0 K): -0.31 eV per atom
# * total magnetic moment: 12.42 Bohr magnetons per cell
# * E: -4.227 eV per atom
data_Ce5CdIn6
_chemical_formula_sum 'Ce10 Cd2 In12'
_cell_length_a 16.5612
_cell_length_b 6.6387
_cell_length_c 5.8751
_cell_angle_alpha 90.00
_cell_angle_beta 92.12
_cell_angle_gamma 90.00
_space_group_name_H-M_alt 'C 1 2/m 1'
_space_group_IT_number 12
_space_group_name_Hall '-C 2y'
loop_
_atom_site_label
_atom_site_fract_x
_atom_site_fract_y
_atom_site_fract_z
_atom_site_occupancy
Ce1 0.0000 0.0000 0.0000 1
Ce2 0.1628 0.0000 0.6992 1
Ce3 0.1700 0.5000 0.7104 1
Cd1 0.0000 0.5000 0.0000 1
In1 0.0000 0.2604 0.5000 1
In2 0.1592 0.2584 0.2028 1

[2]
# CeCd23In6 | Alexandria | GGA-PBE | optimized geometry
# * crystal system: cubic
# * ΔH_f (0 K): 0.01 eV per atom
# * total magnetic moment: 3.99 Bohr magnetons per cell
# * E: -1.435 eV per atom
data_CeCd23In6
_chemical_formula_sum 'Ce4 Cd92 In24'
_cell_length_a 14.3251
_cell_length_b 14.3251
_cell_length_c 14.3251
_cell_angle_alpha 90.00
_cell_angle_beta 90.00
_cell_angle_gamma 90.00
_space_group_name_H-M_alt 'F m -3 m'
_space_group_IT_number 225
_space_group_name_Hall '-F 4 2 3'
loop_
_atom_site_label
_atom_site_fract_x
_atom_site_fract_y
_atom_site_fract_z
_atom_site_occupancy
Ce1 0.0000 0.0000 0.0000 1
Cd1 0.0000 0.0000 0.5000 1
Cd2 0.0000 0.2500 0.2500 1
Cd3 0.1278 0.1278 0.3722 1
Cd4 0.1442 0.1442 0.1442 1
In1 0.0000 0.0000 0.2361 1